Here is a relaxed structure of Be2TlWF8 from the Alexandria database. Energies are from GGA+U.

Lattice parameters (Å, degrees): 5.022 5.022 8.741 73.30 73.30 60.00
Fractional positions:
Be  0.258  0.258  0.226
Be  0.742  0.742  0.774
Tl  0.500  0.500  0.500
W  0.000  0.000  0.000
F  0.197  0.197  0.408
F  0.002  0.588  0.154
F  0.412  0.744  0.846
F  0.998  0.412  0.846
F  0.588  0.256  0.154
F  0.256  0.002  0.154
F  0.744  0.998  0.846
F  0.803  0.803  0.592

space group	R-3
calculated volume	180.1	Å³/cell
calculated total energy	-65.74	eV per cell